A geometry-optimized Ac4SiTe2P structure, computed with PBE.

Calculated values
SG: No. 10
energy relative to the elements, uncorrected: -129.8 kJ/mol of atoms

Cell: 4.591 7.939 8.179 Å, 108.92 90.00 90.00°
Atoms (fractional coordinates):
Ac 0.000 0.259 0.778
Ac 0.500 0.761 0.781
Ac 0.500 0.239 0.219
Si 0.500 0.500 0.000
Ac 0.000 0.741 0.222
Te 0.000 0.500 0.500
P 0.000 0.000 0.000
Te 0.500 0.000 0.500



A geometry-optimized LiPaCo2As2 structure, computed with PBE.

Calculated values
energy of formation: -618 meV per atom
SG: No. 164

Cell: 4.075 4.075 6.360 Å, 90.00 90.00 120.00°
Atoms (fractional coordinates):
Co 0.333 0.667 0.701
Co 0.667 0.333 0.299
Li 0.000 0.000 0.500
As 0.667 0.333 0.709
Pa 0.000 0.000 0.000
As 0.333 0.667 0.291



A geometry-optimized ZrFe2Pt structure, computed with PBE.

Calculated values
energy of formation: -324 meV per atom
SG: No. 139

Cell: 4.966 4.966 3.840 Å, 67.25 67.25 45.52°
Atoms (fractional coordinates):
Fe 0.500 0.500 0.500
Fe 0.000 0.000 0.000
Pt 0.750 0.750 0.750
Zr 0.250 0.250 0.250



A geometry-optimized RbSe2S structure, computed with PBE.

Calculated values
SG: No. 122
energy relative to the elements, uncorrected: -19.8 kJ/mol of atoms

Cell: 6.942 6.942 8.046 Å, 64.44 64.44 90.00°
Atoms (fractional coordinates):
Se 0.875 0.714 0.750
Se 0.286 0.625 0.250
S 0.500 0.500 0.000
Se 0.375 0.536 0.750
Se 0.464 0.125 0.250
S 0.250 0.750 0.500
Rb 0.000 0.000 0.000
Rb 0.750 0.250 0.500



A geometry-optimized BaNd2OsO8 structure, computed with PBE.

Calculated values
SG: No. 10
energy relative to the elements, uncorrected: -210.5 kJ/mol of atoms

Cell: 5.302 5.295 7.352 Å, 89.99 89.99 86.97°
Atoms (fractional coordinates):
Os 0.000 0.000 0.000
O 0.671 0.674 0.500
O 0.244 0.243 0.000
Nd 0.500 0.500 0.257
O 0.756 0.757 0.000
O 0.818 0.183 0.818
O 0.182 0.817 0.182
O 0.182 0.817 0.818
O 0.818 0.183 0.182
Ba 0.000 0.000 0.500
O 0.329 0.326 0.500
Nd 0.500 0.500 0.743



A geometry-optimized RePdO3 structure, computed with PBE.

Calculated values
SG: No. 221
energy relative to the elements, uncorrected: -68.1 kJ/mol of atoms

Cell: 3.861 3.861 3.861 Å, 90.00 90.00 90.00°
Atoms (fractional coordinates):
Pd 0.500 0.500 0.500
Re 0.000 0.000 0.000
O 0.000 0.000 0.500
O 0.000 0.500 0.000
O 0.500 0.000 0.000



A geometry-optimized KRb2AsBr6 structure, computed with PBE.

Calculated values
relative energy among the computed polymorphs: 34 meV/atom
SG: No. 225
energy relative to the elements, uncorrected: -115.4 kJ/mol of atoms

Cell: 8.196 8.196 8.196 Å, 60.00 60.00 60.00°
Atoms (fractional coordinates):
Rb 0.750 0.750 0.750
Br 0.771 0.229 0.771
Br 0.229 0.771 0.229
K 0.500 0.500 0.500
As 0.000 0.000 0.000
Br 0.771 0.229 0.229
Br 0.229 0.771 0.771
Rb 0.250 0.250 0.250
Br 0.229 0.229 0.771
Br 0.771 0.771 0.229



A geometry-optimized RbTl4Ge3Cl12 structure, computed with PBE.

Calculated values
SG: No. 229
energy relative to the elements, uncorrected: -88.3 kJ/mol of atoms

Cell: 9.316 9.316 9.316 Å, 109.47 109.47 109.47°
Atoms (fractional coordinates):
Tl 0.000 0.500 0.000
Cl 0.728 0.000 0.728
Tl 0.500 0.000 0.000
Cl 0.750 0.500 0.250
Ge 0.500 0.500 0.000
Tl 0.000 0.000 0.500
Ge 0.500 0.000 0.500
Rb 0.000 0.000 0.000
Tl 0.500 0.500 0.500
Cl 0.728 0.728 0.000
Cl 0.272 0.272 0.000
Cl 0.250 0.500 0.750
Cl 0.500 0.750 0.250
Cl 0.000 0.728 0.728
Cl 0.500 0.250 0.750
Cl 0.000 0.272 0.272
Cl 0.272 0.000 0.272
Ge 0.000 0.500 0.500
Cl 0.250 0.750 0.500
Cl 0.750 0.250 0.500



A geometry-optimized TlNiSnHg2 structure, computed with PBE.

Calculated values
energy of formation: 39 meV per atom
SG: No. 123

Cell: 5.148 5.148 4.888 Å, 90.00 90.00 90.00°
Atoms (fractional coordinates):
Hg 0.000 0.500 0.000
Hg 0.500 0.000 0.000
Ni 0.000 0.000 0.000
Sn 0.000 0.000 0.500
Tl 0.500 0.500 0.500



A geometry-optimized Ho4ErTl2 structure, computed with PBE.

Calculated values
relative energy among the computed polymorphs: 0 meV/atom
energy of formation: 73 meV per atom
SG: No. 166

Cell: 5.454 5.454 9.279 Å, 72.91 72.91 60.00°
Atoms (fractional coordinates):
Ho 0.131 0.131 0.606
Ho 0.262 0.262 0.213
Ho 0.738 0.738 0.787
Tl 0.619 0.619 0.142
Er 0.500 0.500 0.500
Ho 0.869 0.869 0.394
Tl 0.381 0.381 0.858



A geometry-optimized TlSbTe2Ru structure, computed with PBE.

Calculated values
relative energy among the computed polymorphs: 0 meV/atom
SG: No. 123
energy relative to the elements, uncorrected: 26.1 kJ/mol of atoms

Cell: 5.488 5.488 4.994 Å, 90.00 90.00 90.00°
Atoms (fractional coordinates):
Te 0.500 0.000 0.000
Tl 0.500 0.500 0.500
Sb 0.000 0.000 0.500
Ru 0.000 0.000 0.000
Te 0.000 0.500 0.000



A geometry-optimized Ni3Mo2Pt3 structure, computed with PBE.

Calculated values
relative energy among the computed polymorphs: 21 meV/atom
energy of formation: -153 meV per atom
SG: No. 155

Cell: 4.833 4.833 4.833 Å, 86.62 86.62 93.38°
Atoms (fractional coordinates):
Pt 0.255 0.745 0.000
Ni 0.214 0.786 0.500
Pt 0.745 0.000 0.745
Ni 0.500 0.214 0.214
Ni 0.786 0.500 0.786
Mo 0.274 0.274 0.726
Pt 0.000 0.255 0.255
Mo 0.726 0.726 0.274



A geometry-optimized Ho2Mn2Se2S3 structure, computed with PBE.

Calculated values
SG: No. 139
energy relative to the elements, uncorrected: -102.3 kJ/mol of atoms

Cell: 4.640 4.640 9.601 Å, 103.98 103.98 90.00°
Atoms (fractional coordinates):
Mn 0.500 0.000 0.000
Ho 0.825 0.825 0.650
Se 0.404 0.404 0.809
Mn 0.000 0.500 0.000
S 0.750 0.250 0.500
Ho 0.175 0.175 0.350
Se 0.596 0.596 0.191
S 0.000 0.000 0.000
S 0.250 0.750 0.500



A geometry-optimized LaZnRu structure, computed with PBE.

Calculated values
energy of formation: -274 meV per atom
SG: No. 14

Cell: 5.696 6.167 7.837 Å, 111.01 90.00 90.00°
Atoms (fractional coordinates):
La 0.593 0.810 0.627
La 0.093 0.190 0.873
La 0.407 0.190 0.373
Zn 0.092 0.590 0.686
La 0.907 0.810 0.127
Ru 0.874 0.186 0.547
Ru 0.126 0.814 0.453
Ru 0.626 0.186 0.047
Ru 0.374 0.814 0.953
Zn 0.592 0.410 0.814
Zn 0.908 0.410 0.314
Zn 0.408 0.590 0.186



A geometry-optimized AgHgSO4 structure, computed with PBE.

Calculated values
SG: No. 82
energy relative to the elements, uncorrected: -74.8 kJ/mol of atoms

Cell: 6.337 6.337 5.360 Å, 126.24 126.24 90.00°
Atoms (fractional coordinates):
O 0.950 0.487 0.212
O 0.262 0.726 0.212
Hg 0.000 0.000 0.000
O 0.513 0.738 0.788
Ag 0.500 0.500 0.000
S 0.250 0.750 0.500
O 0.274 0.050 0.788



A geometry-optimized Sc2Nb2Ge structure, computed with PBE.

Calculated values
energy of formation: -92 meV per atom
SG: No. 127

Cell: 6.892 6.892 4.308 Å, 90.00 90.00 90.00°
Atoms (fractional coordinates):
Sc 0.336 0.164 0.500
Nb 0.638 0.138 0.000
Nb 0.362 0.862 0.000
Ge 0.000 0.000 0.000
Nb 0.862 0.638 0.000
Ge 0.500 0.500 0.000
Sc 0.664 0.836 0.500
Nb 0.138 0.362 0.000
Sc 0.836 0.336 0.500
Sc 0.164 0.664 0.500



A geometry-optimized LaPtRh2 structure, computed with PBE.

Calculated values
energy of formation: -710 meV per atom
SG: No. 166

Cell: 5.406 5.406 9.449 Å, 73.38 73.38 60.00°
Atoms (fractional coordinates):
Rh 0.417 0.417 0.247
La 0.000 0.000 0.000
Rh 0.081 0.583 0.753
Rh 0.919 0.417 0.247
La 0.862 0.862 0.414
Pt 0.500 0.500 0.500
Rh 0.583 0.583 0.753
Pt 0.333 0.333 0.002
Rh 0.417 0.919 0.247
Pt 0.667 0.667 0.998
Rh 0.583 0.081 0.753
La 0.138 0.138 0.586



A geometry-optimized SrMoPt2 structure, computed with PBE.

Calculated values
relative energy among the computed polymorphs: 283 meV/atom
energy of formation: 39 meV per atom
SG: No. 44

Cell: 6.129 6.129 6.129 Å, 152.73 132.32 55.79°
Atoms (fractional coordinates):
Sr 0.506 0.506 0.000
Mo 0.215 0.715 0.500
Pt 0.774 0.274 0.500
Pt 0.005 0.005 0.000



A geometry-optimized LiDyThSn structure, computed with PBE.

Calculated values
energy of formation: -247 meV per atom
SG: No. 216

Cell: 5.306 5.306 5.306 Å, 60.00 60.00 60.00°
Atoms (fractional coordinates):
Li 0.250 0.250 0.250
Th 0.000 0.000 0.000
Sn 0.750 0.750 0.750
Dy 0.500 0.500 0.500



A geometry-optimized ZrTi2Pb structure, computed with PBE.

Calculated values
energy of formation: -24 meV per atom
SG: No. 123

Cell: 3.572 3.572 6.370 Å, 90.00 90.00 90.00°
Atoms (fractional coordinates):
Zr 0.500 0.500 0.000
Pb 0.500 0.500 0.500
Ti 0.000 0.000 0.243
Ti 0.000 0.000 0.757



A geometry-optimized TmNpIr4 structure, computed with PBE.

Calculated values
energy of formation: -618 meV per atom
SG: No. 216

Cell: 5.336 5.336 5.336 Å, 60.00 60.00 60.00°
Atoms (fractional coordinates):
Tm 0.000 0.000 0.000
Ir 0.625 0.625 0.625
Ir 0.125 0.625 0.625
Np 0.250 0.250 0.250
Ir 0.625 0.125 0.625
Ir 0.625 0.625 0.125



A geometry-optimized LaDyPa2Rh4 structure, computed with PBE.

Calculated values
energy of formation: -685 meV per atom
SG: No. 42

Cell: 5.698 5.698 6.963 Å, 116.76 116.76 84.24°
Atoms (fractional coordinates):
Rh 0.171 0.171 0.533
La 0.928 0.928 0.000
Dy 0.508 0.508 0.000
Pa 0.165 0.665 0.500
Pa 0.665 0.165 0.500
Rh 0.016 0.408 0.000
Rh 0.408 0.016 0.000
Rh 0.638 0.638 0.467



A geometry-optimized Cs3K3Cd4 structure, computed with PBE.

Calculated values
energy of formation: -17 meV per atom
SG: No. 38

Cell: 5.382 9.935 9.935 Å, 90.61 90.00 90.00°
Atoms (fractional coordinates):
Cs 0.000 0.999 0.499
Cs 0.000 0.501 0.001
Cd 0.000 0.102 0.115
Cd 0.000 0.885 0.898
K 0.500 0.830 0.170
K 0.500 0.336 0.333
Cd 0.000 0.610 0.390
K 0.500 0.667 0.664
Cs 0.500 0.170 0.830
Cd 0.000 0.400 0.600



A geometry-optimized LiNi2Ru structure, computed with PBE.

Calculated values
relative energy among the computed polymorphs: 136 meV/atom
energy of formation: 169 meV per atom
SG: No. 119

Cell: 4.471 4.471 4.471 Å, 132.73 132.73 69.08°
Atoms (fractional coordinates):
Li 0.750 0.250 0.500
Ni 0.250 0.750 0.500
Ni 0.000 0.000 0.000
Ru 0.500 0.500 0.000



A geometry-optimized Tl2SiPb2 structure, computed with PBE.

Calculated values
SG: No. 127
energy relative to the elements, uncorrected: 26.7 kJ/mol of atoms

Cell: 7.546 7.546 5.463 Å, 90.00 90.00 90.00°
Atoms (fractional coordinates):
Si 0.500 0.500 0.000
Pb 0.150 0.350 0.000
Tl 0.333 0.167 0.500
Tl 0.167 0.667 0.500
Tl 0.667 0.833 0.500
Si 0.000 0.000 0.000
Pb 0.850 0.650 0.000
Pb 0.350 0.850 0.000
Tl 0.833 0.333 0.500
Pb 0.650 0.150 0.000